[1]
Below is a relaxed Pm2AlZn5 crystal, with properties calculated at the PBE level.

Unit cell a=4.447 b=8.425 c=8.907 alpha=90.00 beta=90.00 gamma=105.30
Positions (direct):
Pm: 0.795 0.591 0.750
Pm: 0.000 0.000 0.500
Pm: 0.000 0.000 0.000
Pm: 0.205 0.409 0.250
Zn: 0.402 0.805 0.250
Zn: 0.814 0.628 0.107
Zn: 0.814 0.628 0.393
Zn: 0.650 0.299 0.021
Zn: 0.650 0.299 0.479
Zn: 0.186 0.372 0.607
Zn: 0.186 0.372 0.893
Zn: 0.598 0.195 0.750
Zn: 0.350 0.701 0.979
Zn: 0.350 0.701 0.521
Al: 0.443 0.886 0.750
Al: 0.557 0.114 0.250

Output
E above lowest polymorph: 0.00 eV per formula unit
SG: Cmcm, No. 63
density: 6.64 g/cm3
energy of formation: -0.362 eV/atom
Fermi-level density of states: 0.67 states/eV per atom
size of the total moment: 0.00 μB/cell
DFT total energy: -2.81 eV per atom



[2]
Below is a relaxed Pm2Al3Zn5 crystal, with properties calculated at the PBE level.

Unit cell a=5.999 b=8.573 c=8.573 alpha=77.06 beta=69.52 gamma=69.52
Positions (direct):
Pm: 0.875 0.379 0.871
Pm: 0.375 0.871 0.379
Pm: 0.125 0.621 0.129
Pm: 0.625 0.129 0.621
Al: 0.629 0.502 0.241
Al: 0.750 0.000 0.000
Al: 0.129 0.241 0.502
Al: 0.371 0.498 0.759
Al: 0.250 0.000 0.000
Al: 0.871 0.759 0.498
Zn: 0.376 0.263 0.985
Zn: 0.250 0.500 0.500
Zn: 0.491 0.759 0.759
Zn: 0.991 0.759 0.759
Zn: 0.509 0.241 0.241
Zn: 0.750 0.500 0.500
Zn: 0.009 0.241 0.241
Zn: 0.124 0.015 0.737
Zn: 0.624 0.737 0.015
Zn: 0.876 0.985 0.263

Output
SG: Ibam, No. 72
density: 6.03 g/cm3
energy of formation: -0.389 eV/atom
Fermi-level density of states: 0.37 states/eV per atom
size of the total moment: 0.00 μB/cell
DFT total energy: -3.10 eV per atom



Among the records above, which one has the lowest DFT total energy? Pm2Al3Zn5